1.
Crystalline LiGa8Ge2 at its relaxed geometry, computed with PBE.

abc: 11.081 8.382 4.698
angles: 90.00 94.09 90.00
Space group C2/m (No. 12)
Asymmetric unit:
1 Li 0.000 0.000 0.000 (multiplicity 2)
2 Ga 0.083 0.277 0.806 (multiplicity 8)
3 Ga 0.109 0.500 0.356 (multiplicity 4)
4 Ga 0.249 0.500 0.896 (multiplicity 4)
5 Ge 0.127 0.000 0.558 (multiplicity 4)

Results
Formation energy: 0.03 eV/atom

2.
Crystalline Ni2Bi2Sb at its relaxed geometry, computed with PBE.

abc: 7.200 7.200 4.032
angles: 90.00 90.00 90.00
Space group P4/mbm (No. 127)
Asymmetric unit:
1 Ni 0.127 0.373 0.000 (multiplicity 4)
2 Bi 0.163 0.663 0.500 (multiplicity 4)
3 Sb 0.000 0.000 0.000 (multiplicity 2)

Results
E: -45.46 eV per cell

3.
Crystalline Zn2Ge2Au at its relaxed geometry, computed with PBE.

abc: 3.676 3.676 13.687
angles: 90.00 90.00 90.00
Space group I4/mmm (No. 139)
Asymmetric unit:
1 Zn 0.000 0.000 0.092 (multiplicity 4)
2 Ge 0.000 0.500 0.250 (multiplicity 4)
3 Au 0.000 0.000 0.500 (multiplicity 2)

Results
Energy above the most stable polymorph in this dataset: 59 meV/atom
Formation energy: 0.20 eV/atom

4.
Crystalline TmThNi2 at its relaxed geometry, computed with PBE.

abc: 4.6723 4.6723 12.9169
angles: 90.00 90.00 120.00
Space group R-3m (No. 166, hexagonal axes)
Asymmetric unit:
1 Tm 0.0000 0.0000 0.0000 (multiplicity 3)
2 Th 0.0000 0.0000 0.5000 (multiplicity 3)
3 Ni 0.0000 0.0000 0.2785 (multiplicity 6)

Results
Energy above the most stable polymorph in this dataset: 95 meV/atom
Formation energy: -0.38 eV/atom

5.
Crystalline Be3CdIr at its relaxed geometry, computed with PBE.

abc: 4.274 4.274 4.274
angles: 90.00 90.00 90.00
Space group Pm-3m (No. 221)
Asymmetric unit:
1 Be 0.000 0.000 0.500 (multiplicity 3)
2 Cd 0.500 0.500 0.500 (multiplicity 1)
3 Ir 0.000 0.000 0.000 (multiplicity 1)

Results
Energy above the most stable polymorph in this dataset: 0 meV/atom
Formation energy: 0.28 eV/atom

6.
Crystalline Rb2Bi2S3 at its relaxed geometry, computed with PBE.

abc: 14.891 4.090 7.776
angles: 90.00 97.45 90.00
Space group C2/m (No. 12)
Asymmetric unit:
1 Rb 0.127 0.000 0.368 (multiplicity 4)
2 Bi 0.122 0.500 0.885 (multiplicity 4)
3 S 0.000 0.000 0.000 (multiplicity 2)
4 S 0.228 0.000 0.783 (multiplicity 4)

Results
E: -52.10 eV per cell

7.
Crystalline EuZrRu4 at its relaxed geometry, computed with PBE.

abc: 7.496 7.496 7.496
angles: 90.00 90.00 90.00
Space group F-43m (No. 216)
Asymmetric unit:
1 Eu 0.000 0.000 0.000 (multiplicity 4)
2 Zr 0.250 0.250 0.250 (multiplicity 4)
3 Ru 0.125 0.125 0.625 (multiplicity 16)

Results
Formation energy: -0.09 eV/atom

8.
Crystalline TlNiPb2 at its relaxed geometry, computed with PBE.

abc: 4.652 4.818 8.806
angles: 90.00 90.00 90.00
Space group Cmm2 (No. 35)
Asymmetric unit:
1 Tl 0.000 0.000 0.000 (multiplicity 2)
2 Ni 0.000 0.500 0.813 (multiplicity 2)
3 Pb 0.000 0.000 0.624 (multiplicity 2)
4 Pb 0.000 0.500 0.298 (multiplicity 2)

Results
Energy above the most stable polymorph in this dataset: 84 meV/atom
Formation energy: 0.19 eV/atom